No. 1
DFT (PBE) results for a relaxed RbGa2ReN crystal.

DOS at the Fermi energy ... 0.6980 states/eV/atom
Crystal system ... tetragonal
V ... 113 Å³/f.u.
Space group ... P4/mmm (123)

Lattice parameters (Å, degrees): 5.429 3.819 5.429 90.00 90.00 90.00
Element x y z (fractional)
Ga: 0.500 0.000 0.000
Ga: 0.000 0.000 0.500
Rb: 0.500 0.500 0.500
Re: 0.000 0.500 0.000
N: 0.000 0.000 0.000

No. 2
DFT (PBE) results for a relaxed RbGaS2N crystal.

DOS at the Fermi energy ... 0.4858 states/eV/atom
Offset from the most stable computed form ... 0.000 eV/atom
Crystal system ... tetragonal
V ... 106 Å³/f.u.
Space group ... P4/mmm (123)

Lattice parameters (Å, degrees): 5.138 5.138 4.013 90.00 90.00 90.00
Last column: magnetic moment on the atom in μB.
Element x y z (fractional)
S: 0.500 0.000 0.000  0.47
Rb: 0.500 0.500 0.500  0.01
Ga: 0.000 0.000 0.000  -0.03
S: 0.000 0.500 0.000  0.47
N: 0.000 0.000 0.500  1.06

No. 3
DFT (PBE) results for a relaxed RbGaS2N crystal.

DOS at the Fermi energy ... 0.9623 states/eV/atom
Offset from the most stable computed form ... 1.196 eV/atom
Crystal system ... tetragonal
V ... 194 Å³/f.u.
Space group ... P4/mmm (123)

Lattice parameters (Å, degrees): 6.003 6.003 5.395 90.00 90.00 90.00
Last column: magnetic moment on the atom in μB.
Element x y z (fractional)
N: 0.000 0.000 0.500  1.80
Ga: 0.500 0.500 0.500  -0.02
Rb: 0.000 0.000 0.000  0.09
S: 0.500 0.000 0.000  0.67
S: 0.000 0.500 0.000  0.67

No. 4
DFT (PBE) results for a relaxed RbGaSN2 crystal.

DOS at the Fermi energy ... 0.9609 states/eV/atom
Offset from the most stable computed form ... 1.167 eV/atom
Crystal system ... tetragonal
V ... 177 Å³/f.u.
Space group ... P4/mmm (123)

Lattice parameters (Å, degrees): 5.298 5.298 6.293 90.00 90.00 90.00
Last column: magnetic moment on the atom in μB.
Element x y z (fractional)
Ga: 0.500 0.500 0.500  -0.01
Rb: 0.000 0.000 0.000  0.10
N: 0.500 0.000 0.000  1.70
S: 0.000 0.000 0.500  0.48
N: 0.000 0.500 0.000  1.70

No. 5
DFT (PBE) results for a relaxed RbGaSN2 crystal.

DOS at the Fermi energy ... 0.5028 states/eV/atom
Offset from the most stable computed form ... 0.000 eV/atom
Crystal system ... tetragonal
V ... 93 Å³/f.u.
Space group ... P4/mmm (123)

Lattice parameters (Å, degrees): 4.336 4.336 4.930 90.00 90.00 90.00
Last column: magnetic moment on the atom in μB.
Element x y z (fractional)
S: 0.000 0.000 0.500  0.36
N: 0.000 0.500 0.000  1.17
Ga: 0.000 0.000 0.000  -0.04
N: 0.500 0.000 0.000  1.17
Rb: 0.500 0.500 0.500  0.02

No. 6
DFT (PBE) results for a relaxed RbGaSeN2 crystal.

DOS at the Fermi energy ... 0.8660 states/eV/atom
Offset from the most stable computed form ... 1.035 eV/atom
Crystal system ... tetragonal
V ... 185 Å³/f.u.
Space group ... P4/mmm (123)

Lattice parameters (Å, degrees): 5.278 5.278 6.651 90.00 90.00 90.00
Last column: magnetic moment on the atom in μB.
Element x y z (fractional)
N: 0.000 0.500 0.000  1.70
N: 0.500 0.000 0.000  1.70
Rb: 0.000 0.000 0.000  0.10
Ga: 0.500 0.500 0.500  -0.01
Se: 0.000 0.000 0.500  0.47

No. 7
DFT (PBE) results for a relaxed RbGaSeN2 crystal.

DOS at the Fermi energy ... 0.5319 states/eV/atom
Offset from the most stable computed form ... 0.000 eV/atom
Crystal system ... tetragonal
V ... 100 Å³/f.u.
Space group ... P4/mmm (123)

Lattice parameters (Å, degrees): 4.401 4.401 5.186 90.00 90.00 90.00
Last column: magnetic moment on the atom in μB.
Element x y z (fractional)
N: 0.000 0.500 0.000  1.16
N: 0.500 0.000 0.000  1.16
Rb: 0.500 0.500 0.500  0.02
Ga: 0.000 0.000 0.000  -0.06
Se: 0.000 0.000 0.500  0.39

No. 8
DFT (PBE) results for a relaxed RbGaTe2N crystal.

DOS at the Fermi energy ... 2.2412 states/eV/atom
Offset from the most stable computed form ... 1.407 eV/atom
Crystal system ... tetragonal
V ... 222 Å³/f.u.
Space group ... P4/mmm (123)

Lattice parameters (Å, degrees): 6.574 6.574 5.129 90.00 90.00 90.00
Last column: magnetic moment on the atom in μB.
Element x y z (fractional)
Te: 0.000 0.500 0.000  0.59
Rb: 0.000 0.000 0.000  -0.03
N: 0.000 0.000 0.500  -0.37
Ga: 0.500 0.500 0.500  -0.01
Te: 0.500 0.000 0.000  0.59

No. 9
DFT (PBE) results for a relaxed RbGaTeN2 crystal.

DOS at the Fermi energy ... 1.0260 states/eV/atom
Offset from the most stable computed form ... 0.809 eV/atom
Crystal system ... tetragonal
V ... 203 Å³/f.u.
Space group ... P4/mmm (123)

Lattice parameters (Å, degrees): 5.273 5.273 7.291 90.00 90.00 90.00
Last column: magnetic moment on the atom in μB.
Element x y z (fractional)
N: 0.000 0.500 0.000  1.68
Ga: 0.500 0.500 0.500  0.01
N: 0.500 0.000 0.000  1.68
Rb: 0.000 0.000 0.000  0.09
Te: 0.000 0.000 0.500  0.39

No. 10
DFT (PBE) results for a relaxed RbGaTeN2 crystal.

DOS at the Fermi energy ... 0.7809 states/eV/atom
Offset from the most stable computed form ... 0.096 eV/atom
Crystal system ... tetragonal
V ... 104 Å³/f.u.
Space group ... P4/mmm (123)

Lattice parameters (Å, degrees): 4.401 5.364 4.401 90.00 90.00 90.00
Element x y z (fractional)
Ga: 0.000 0.500 0.000
N: 0.500 0.000 0.000
N: 0.000 0.000 0.500
Rb: 0.500 0.500 0.500
Te: 0.000 0.000 0.000

No. 11
DFT (PBE) results for a relaxed RbGaTe2N crystal.

DOS at the Fermi energy ... 1.1538 states/eV/atom
Offset from the most stable computed form ... 0.000 eV/atom
Crystal system ... tetragonal
V ... 144 Å³/f.u.
Space group ... P4/mmm (123)

Lattice parameters (Å, degrees): 6.415 6.415 3.490 90.00 90.00 90.00
Last column: magnetic moment on the atom in μB.
Element x y z (fractional)
Te: 0.500 0.000 0.000  0.12
Ga: 0.000 0.000 0.000  0.00
Te: 0.000 0.500 0.000  0.12
Rb: 0.500 0.500 0.500  0.00
N: 0.000 0.000 0.500  0.21

No. 12
DFT (PBE) results for a relaxed RbGaTeN2 crystal.

DOS at the Fermi energy ... 0.5726 states/eV/atom
Offset from the most stable computed form ... 0.000 eV/atom
Crystal system ... tetragonal
V ... 116 Å³/f.u.
Space group ... P4/mmm (123)

Lattice parameters (Å, degrees): 4.573 4.573 5.531 90.00 90.00 90.00
Last column: magnetic moment on the atom in μB.
Element x y z (fractional)
N: 0.500 0.000 0.000  1.16
Te: 0.000 0.000 0.500  0.34
Rb: 0.500 0.500 0.500  0.02
N: 0.000 0.500 0.000  1.16
Ga: 0.000 0.000 0.000  -0.06

No. 13
DFT (PBE) results for a relaxed GaReN crystal.

DOS at the Fermi energy ... 0.3428 states/eV/atom
Offset from the most stable computed form ... 0.049 eV/atom
Crystal system ... monoclinic
V ... 47 Å³/f.u.
Space group ... C2/m (12)

Lattice parameters (Å, degrees): 2.924 4.722 7.353 77.36 78.53 71.96
Element x y z (fractional)
Re: 0.381 0.797 0.442
N: 0.172 0.950 0.705
Ga: 0.315 0.528 0.841
Re: 0.619 0.203 0.558
N: 0.828 0.050 0.295
Ga: 0.685 0.472 0.159

No. 14
DFT (PBE) results for a relaxed GaReN3 crystal.

DOS at the Fermi energy ... 0.6865 states/eV/atom
Crystal system ... cubic
V ... 60 Å³/f.u.
Space group ... Pm-3m (221)

Lattice parameters (Å, degrees): 3.916 3.916 3.916 90.00 90.00 90.00
Element x y z (fractional)
N: 0.000 0.000 0.500
N: 0.000 0.500 0.000
Re: 0.000 0.000 0.000
N: 0.500 0.000 0.000
Ga: 0.500 0.500 0.500

No. 15
DFT (PBE) results for a relaxed Ga2ReN crystal.

DOS at the Fermi energy ... 0.7665 states/eV/atom
Crystal system ... tetragonal
V ... 53 Å³/f.u.
Space group ... I-42d (122)

Lattice parameters (Å, degrees): 6.260 6.260 5.199 52.98 52.98 90.00
Element x y z (fractional)
Ga: 0.199 0.625 0.250
Ga: 0.375 0.449 0.750
N: 0.500 0.500 0.000
Re: 0.000 0.000 0.000
Ga: 0.875 0.801 0.750
Re: 0.750 0.250 0.500
N: 0.250 0.750 0.500
Ga: 0.551 0.125 0.250

No. 16
DFT (PBE) results for a relaxed GaReN crystal.

DOS at the Fermi energy ... 0.3951 states/eV/atom
Offset from the most stable computed form ... 0.000 eV/atom
Crystal system ... trigonal
V ... 36 Å³/f.u.
Space group ... P3m1 (156)

Lattice parameters (Å, degrees): 2.862 2.862 5.030 90.00 90.00 120.00
Element x y z (fractional)
Re: 0.667 0.333 0.280
N: 0.000 0.000 0.020
Ga: 0.333 0.667 0.700

No. 17
DFT (PBE) results for a relaxed Ga2Re2N crystal.

DOS at the Fermi energy ... 0.6921 states/eV/atom
Offset from the most stable computed form ... 0.000 eV/atom
Crystal system ... tetragonal
V ... 72 Å³/f.u.
Space group ... P4/mbm (127)

Lattice parameters (Å, degrees): 5.465 5.465 4.849 90.00 90.00 90.00
Element x y z (fractional)
Re: 0.827 0.673 0.000
Ga: 0.685 0.815 0.500
Re: 0.173 0.327 0.000
N: 0.000 0.000 0.000
Re: 0.327 0.827 0.000
N: 0.500 0.500 0.000
Ga: 0.315 0.185 0.500
Re: 0.673 0.173 0.000
Ga: 0.185 0.685 0.500
Ga: 0.815 0.315 0.500

No. 18
DFT (PBE) results for a relaxed Ga2Re2N crystal.

DOS at the Fermi energy ... 0.9645 states/eV/atom
Offset from the most stable computed form ... 0.974 eV/atom
Crystal system ... tetragonal
V ... 72 Å³/f.u.
Space group ... I4/mmm (139)

Lattice parameters (Å, degrees): 3.298 3.298 7.005 76.38 76.38 90.00
Last column: magnetic moment on the atom in μB.
Element x y z (fractional)
Ga: 0.250 0.750 0.500  0.00
Re: 0.406 0.406 0.188  0.55
Re: 0.594 0.594 0.812  0.55
N: 0.000 0.000 0.000  -0.01
Ga: 0.750 0.250 0.500  0.00

No. 19
DFT (PBE) results for a relaxed GaReN3 crystal.

DOS at the Fermi energy ... 1.5503 states/eV/atom
Crystal system ... cubic
V ... 52 Å³/f.u.
Space group ... Pm-3m (221)

Lattice parameters (Å, degrees): 3.743 3.743 3.743 90.00 90.00 90.00
Element x y z (fractional)
Ga: 0.000 0.000 0.000
N: 0.000 0.500 0.000
Re: 0.500 0.500 0.500
N: 0.000 0.000 0.500
N: 0.500 0.000 0.000

No. 20
DFT (PBE) results for a relaxed GaReS2N crystal.

DOS at the Fermi energy ... 0.5164 states/eV/atom
Offset from the most stable computed form ... 0.000 eV/atom
Crystal system ... tetragonal
V ... 88 Å³/f.u.
Space group ... P4/mmm (123)

Lattice parameters (Å, degrees): 4.826 4.826 3.766 90.00 90.00 90.00
Element x y z (fractional)
Re: 0.000 0.000 0.000
S: 0.500 0.000 0.000
Ga: 0.500 0.500 0.500
N: 0.000 0.000 0.500
S: 0.000 0.500 0.000

Q: Which energy relative to the elements, uncorrected values were calculated for the entries above? A: 74.7, 30.1, 145.5, 200.5, 87.9, 192.8, 92.9, 155.4, 189.3, 120.4, 19.6, 111.2, 17.4, 64.3, 65.7, 12.6, 32.8, 126.8, 195.8, 15.8, in kJ per mole of atoms.